# 1
The following is a DFT calculation (PBE-GGA) of a relaxed structure of YEr8Tl2.

## Properties
E_tot, eV per cell: -47.61
Energy of formation from the pure elements, eV per atom: 0.0077

Cell lengths 8.7483, 8.7483, 5.5304 Å; angles 101.60, 101.60, 119.37 degrees
Positions (direct):
Y: 0.0000 0.0000 0.0000
Er: 0.0954 0.3226 0.6184
Er: 0.2169 0.7831 0.0000
Er: 0.3226 0.0954 0.6184
Er: 0.4022 0.4022 0.2021
Er: 0.5978 0.5978 0.7979
Er: 0.6774 0.9046 0.3816
Er: 0.7831 0.2169 0.0000
Er: 0.9046 0.6774 0.3816
Tl: 0.3063 0.6937 0.5000
Tl: 0.6937 0.3063 0.5000


# 2
The following is a DFT calculation (PBE-GGA) of a relaxed structure of MgNiSe.

## Properties
E_form (uncorrected), eV per formula unit: -1.371
E_tot, eV per cell: -24.46

Cell lengths 4.3565, 4.3688, 6.6056 Å; angles 71.76, 71.76, 63.44 degrees
Positions (direct):
Mg: 0.0000 0.0000 0.0000
Mg: 0.3396 0.6639 0.5004
Ni: 0.6698 0.0500 0.4271
Ni: 0.9547 0.3335 0.5728
Se: 0.2371 0.2890 0.2138
Se: 0.7115 0.7627 0.7865


# 3
The following is a DFT calculation (PBE-GGA) of a relaxed structure of MgAg2W.

## Properties
E_tot, eV per cell: -18.31
Energy of formation from the pure elements, eV per atom: 0.4846

Cell lengths 5.0613, 5.0613, 5.2270 Å; angles 98.58, 98.58, 31.72 degrees
Positions (direct):
Mg: 0.0000 0.0000 0.0000
Ag: 0.5002 0.5002 0.5067
Ag: 0.7490 0.7490 0.2302
W: 0.2498 0.2498 0.7294


Question: Which of these has the highest E_tot?
Answer: MgAg2W